Density functional theory data (PBE with a Hubbard U) for a geometry-optimized Co3SbF structure.

The space group is Pm-3m (No. 221) and the conventional cell measures 4.262, 4.262 and 4.262 Å, with angles of 90.00, 90.00 and 90.00 degrees. The asymmetric unit holds Co at (0.000, 0.000, 0.500), Sb at (0.500, 0.500, 0.500) and F at (0.000, 0.000, 0.000).

The energy above the lowest structure with this stoichiometry is 0 meV/atom. As for the mass density: 6.8 g/cm³.